No. 1
This record from Alexandria describes crystalline Pm3SmEr at its relaxed geometry. The functional is GGA-PBE.

Cell lengths 17.5309, 6.8082, 6.0616 Å; angles 90.00, 110.04, 90.00 degrees
Closest atoms and distances in Å follow each position.
Space group C2/m (No. 12)
Inequivalent atoms, fractional coordinates:
Pm 0.1530 0.2331 0.4024  2 Pm 3.17-3.20, 2 Sm 3.45-3.46
Pm 0.2265 0.5000 0.9755  6 Pm 3.49-3.74, 1 Er 3.66
Sm 0.0000 0.5000 0.0000  2 Sm 3.03
Sm 0.0000 0.5000 0.5000  2 Sm 3.03
Er 0.0512 0.0000 0.8009  2 Er 3.47, 7 Pm 3.66-3.81, 4 Sm 3.82

Computed properties:
* raw total energy: -4.516 eV per atom
* polymorph energy (0 for the lowest one): 176.0 meV per atom
* ΔH_f (0 K): 0.191 eV per atom



No. 2
This record from Alexandria describes crystalline RbLiGa2Au at its relaxed geometry. The functional is GGA-PBE.

Cell lengths 5.0572, 5.0572, 5.3504 Å; angles 90.00, 90.00, 90.00 degrees
Closest atoms and distances in Å follow each position.
Space group P4/mmm (No. 123)
Inequivalent atoms, fractional coordinates:
Rb 0.0000 0.0000 0.0000  4 Li 3.58, 8 Ga 3.68
Li 0.5000 0.5000 0.0000  2 Au 2.68
Ga 0.0000 0.5000 0.5000  2 Au 2.53
Au 0.5000 0.5000 0.5000  4 Ga 2.53, 2 Li 2.68

Computed properties:
* raw total energy: -2.543 eV per atom
* ΔH_f (0 K): -0.100 eV per atom



No. 3
This record from Alexandria describes crystalline Al3Te at its relaxed geometry. The functional is GGA-PBE.

Cell lengths 4.3974, 4.3974, 4.3974 Å; angles 90.00, 90.00, 90.00 degrees
Closest atoms and distances in Å follow each position.
Space group Pm-3m (No. 221)
Inequivalent atoms, fractional coordinates:
Al 0.0000 0.0000 0.5000  4 Te 3.11, 8 Al 3.11
Te 0.5000 0.5000 0.5000  12 Al 3.11

Computed properties:
* raw total energy: -3.334 eV per atom
* polymorph energy (0 for the lowest one): 212.6 meV per atom
* formation energy from raw total energies: 5.96 kcal/mol of atoms



Look up the raw total energy of the third one.
-3.334 eV per atom



Look up the raw total energy of the second one.
-2.543 eV per atom



Copy entry 2 word for word.
This record from Alexandria describes crystalline RbLiGa2Au at its relaxed geometry. The functional is GGA-PBE.

Cell lengths 5.0572, 5.0572, 5.3504 Å; angles 90.00, 90.00, 90.00 degrees
Closest atoms and distances in Å follow each position.
Space group P4/mmm (No. 123)
Inequivalent atoms, fractional coordinates:
Rb 0.0000 0.0000 0.0000  4 Li 3.58, 8 Ga 3.68
Li 0.5000 0.5000 0.0000  2 Au 2.68
Ga 0.0000 0.5000 0.5000  2 Au 2.53
Au 0.5000 0.5000 0.5000  4 Ga 2.53, 2 Li 2.68

Computed properties:
* raw total energy: -2.543 eV per atom
* ΔH_f (0 K): -0.100 eV per atom



Number 3 is which compound?
Al3Te